The following is a DFT calculation (GGA+U) of a geometry-optimized NaAcVO5 structure.

Summary:
**Magnetization**: 1.1 μB per formula unit
**N(E_F)**: 3.81 states/eV/f.u.
**ρ**: 4.412 Mg/m³
**Uncorrected energy**: -6.8765 eV per atom

CIF file:
```
data_NaAcVO5
_chemical_formula_sum 'Na2 Ac2 V2 O10'
_symmetry_space_group_name_H-M 'P 1'
_symmetry_Int_Tables_number 1
_symmetry_space_group_name_Hall 'P 1'
_cell_length_a 6.072
_cell_length_b 6.072
_cell_length_c 8.624
_cell_angle_alpha 102.48
_cell_angle_beta 102.48
_cell_angle_gamma 105.23
loop_
_atom_site_label
_atom_site_fract_x
_atom_site_fract_y
_atom_site_fract_z
Na1 0.153 0.847 0.750
Na2 0.847 0.153 0.250
Ac1 0.500 0.500 0.000
Ac2 0.500 0.500 0.500
V1 0.176 0.824 0.250
V2 0.824 0.176 0.750
O1 0.084 0.219 0.902
O2 0.152 0.581 0.332
O3 0.219 0.084 0.402
O4 0.397 0.603 0.750
O5 0.419 0.848 0.168
O6 0.581 0.152 0.832
O7 0.603 0.397 0.250
O8 0.781 0.916 0.598
O9 0.848 0.419 0.668
O10 0.916 0.781 0.098
```